1.
# ThZrPd

An optimized crystal structure of ThZrPd (PBE, the Alexandria database).

Geometry as extended XYZ:
```
3
Lattice="4.170 0.000 0.000 0.000 4.584 0.000 0.000 -2.292 3.970" Properties=species:S:1:pos:R:3 pbc="T T T"
Zr 2.084 0.000 2.647
Pd 2.086 2.292 1.323
Th 4.170 0.000 0.000
```

* SG: No. 187

***

2.
# NiRuC

An optimized crystal structure of NiRuC (PBE, the Alexandria database).

Geometry as extended XYZ:
```
9
Lattice="-1.377 -2.518 1.090 2.059 -0.235 -2.265 8.684 -1.275 8.026" Properties=species:S:1:pos:R:3 pbc="T T T"
Ru 2.017 -0.296 1.864
Ru 8.720 -2.143 6.068
Ru 4.680 -2.478 4.511
C 8.512 -1.250 7.866
C 6.530 -1.821 4.044
C 2.490 -2.157 2.487
Ni 6.323 -0.929 5.844
Ni 4.342 -1.500 2.022
Ni 0.302 -1.835 0.465
```

* SG: No. 160

***

3.
# CdBC2

An optimized crystal structure of CdBC2 (PBE, the Alexandria database).

Geometry as extended XYZ:
```
4
Lattice="0.000 2.782 2.782 2.782 0.000 2.782 2.782 2.782 0.000" Properties=species:S:1:pos:R:3 pbc="T T T"
C 1.391 1.391 1.391
C 4.173 4.173 4.173
B 0.000 0.000 0.000
Cd 2.782 2.782 2.782
```

* SG: No. 225

***

4.
# CdInGe2P

An optimized crystal structure of CdInGe2P (PBE, the Alexandria database).

Geometry as extended XYZ:
```
5
Lattice="-2.733 -0.983 -4.346 1.376 -5.072 0.282 -4.241 -0.990 2.891" Properties=species:S:1:pos:R:3 pbc="T T T"
P -2.799 -3.522 -0.587
Ge -2.120 -0.495 1.446
Ge -1.367 -0.491 -2.173
Cd 0.688 -2.536 0.141
In 0.000 0.000 0.000
```

* SG: No. 123

***

Number 1: N(E_F) 3.43 states/eV/f.u., energy of formation from the pure elements -0.217 eV per atom. Number 2: N(E_F) 2.85 states/eV/f.u., energy of formation from the pure elements 0.377 eV per atom. Number 3: N(E_F) 1.39 states/eV/f.u., energy of formation from the pure elements 2.956 eV per atom. Number 4: N(E_F) 2.35 states/eV/f.u., energy of formation from the pure elements 1.054 eV per atom.